Record 1
AlCuCl2 after structural relaxation, computed with GGA-PBE.

abc: 3.547 3.547 7.817
angles: 90.00 90.00 121.57
Atoms (fractional coordinates):
Cl (0.000, 0.000, 0.461)
Cl (0.000, 0.000, 0.039)
Al (0.500, 0.500, 0.750)
Cu (0.500, 0.500, 0.250)

Computed properties:
* uncorrected formation energy: -0.223 eV per atom
* VASP energy: -3.11 eV/atom
* magnetic moment: 0.000 μB per atom
* energy above the lowest structure with this stoichiometry: 0.4227 eV/atom

Record 2
Ni2HgIr after structural relaxation, computed with GGA-PBE.

abc: 3.979 3.980 3.598
angles: 90.00 90.00 90.00
Site moments in Bohr magnetons follow the coordinates.
Atoms (fractional coordinates):
Ni (0.000, 0.000, 0.000)  0.49
Ni (0.500, 0.500, 0.000)  0.49
Hg (0.500, 0.000, 0.500)  0.00
Ir (0.000, 0.500, 0.500)  0.26

Computed properties:
* calculated formation energy: 0.342 eV per atom
* VASP energy: -4.84 eV/atom
* magnetic moment: 0.304 μB per atom